Gd2Mo3O12 (PBE+U, optimized geometry); volume = 305 Å³/f.u.; crystal system = orthorhombic; symmetry = Pba2, No. 32; excess energy over the best structure of this formula in the dataset = 0.0000 eV/atom; total magnetic moment = 55.6 μB/cell
1.0
10.622 0.000 0.000
0.000 10.631 0.000
0.000 0.000 10.819
Gd Mo O
8 12 48
direct
0.003 0.188 0.000
0.189 0.503 0.473
0.311 0.003 0.473
0.497 0.688 0.000
0.503 0.312 0.000
0.689 0.997 0.473
0.811 0.497 0.473
0.997 0.812 0.000
0.002 0.793 0.381
0.207 0.506 0.093
0.246 0.754 0.737
0.254 0.254 0.737
0.293 0.006 0.093
0.498 0.293 0.381
0.502 0.707 0.381
0.707 0.994 0.093
0.746 0.746 0.737
0.754 0.246 0.737
0.793 0.494 0.093
0.998 0.207 0.381
0.004 0.373 0.429
0.011 0.196 0.217
0.125 0.374 0.032
0.126 0.124 0.450
0.127 0.825 0.831
0.127 0.998 0.045
0.138 0.183 0.835
0.145 0.651 0.036
0.151 0.854 0.428
0.176 0.638 0.638
0.182 0.373 0.642
0.196 0.508 0.257
0.304 0.008 0.257
0.318 0.873 0.642
0.324 0.138 0.638
0.349 0.354 0.428
0.355 0.151 0.036
0.362 0.683 0.835
0.373 0.325 0.831
0.373 0.498 0.045
0.374 0.624 0.450
0.375 0.874 0.032
0.489 0.696 0.217
0.496 0.873 0.429
0.504 0.127 0.429
0.511 0.304 0.217
0.625 0.126 0.032
0.626 0.376 0.450
0.627 0.502 0.045
0.627 0.675 0.831
0.638 0.317 0.835
0.645 0.849 0.036
0.651 0.646 0.428
0.676 0.862 0.638
0.682 0.127 0.642
0.696 0.992 0.257
0.804 0.492 0.257
0.818 0.627 0.642
0.824 0.362 0.638
0.849 0.146 0.428
0.855 0.349 0.036
0.862 0.817 0.835
0.873 0.002 0.045
0.873 0.175 0.831
0.874 0.876 0.450
0.875 0.626 0.032
0.989 0.804 0.217
0.996 0.627 0.429